No. 1
A relaxed structure of GaIrPb. Source: the Alexandria database, functional GGA-PBE.

abc: 3.0615 6.6343 7.3363
angles: 113.08 89.99 103.13
Last column: nearest neighbours and their distance in Å.
Fractional positions:
Pb  0.6518  0.8237  0.3705  4 Ir 2.96-3.07, 2 Pb 3.06
Ir  0.0873  0.6940  0.6537  3 Ga 2.43-2.51
Ir  0.9548  0.4237  0.0614  4 Ga 2.53-2.55
Pb  0.3928  0.3037  0.3697  4 Ir 2.96-3.08, 2 Pb 3.06, 1 Ga 3.32
Ga  0.5316  0.5807  0.8693  4 Ir 2.51-2.55
Ga  0.2924  0.0927  0.8759  3 Ir 2.43-2.54

Computed properties:
As for the volume: 22.1 Å³ per atom. The calculation puts the formation energy at -4.90 kJ per mole of atoms. As for the total moment: 0.00 μB per cell.

---

No. 2
A relaxed structure of GaIrPb. Source: the Alexandria database, functional GGA-PBE.

abc: 6.3768 3.0400 14.6332
angles: 90.00 109.87 90.00
Last column: nearest neighbours and their distance in Å.
Fractional positions:
Pb  0.2504  0.5000  0.2529  3 Ir 2.93-2.99, 2 Pb 3.04
Ga  0.5000  0.0000  0.5000  4 Ir 2.52
Ga  0.5000  0.5000  0.0000  4 Ir 2.52
Ir  0.6809  0.5000  0.4110  4 Ga 2.52
Ir  0.3191  0.0000  0.0890  4 Ga 2.52
Pb  0.7496  0.0000  0.2471  3 Ir 2.93-2.99, 2 Pb 3.04
Ir  0.6809  0.0000  0.9110  4 Ga 2.52
Ir  0.3191  0.5000  0.5890  4 Ga 2.52
Ga  0.0000  0.0000  0.5000  4 Ir 2.52
Pb  0.7496  0.5000  0.7471  3 Ir 2.93-2.99, 2 Pb 3.04
Ga  0.0000  0.5000  0.0000  4 Ir 2.52
Pb  0.2504  0.0000  0.7529  3 Ir 2.93-2.99, 2 Pb 3.04

Computed properties:
As for the volume: 22.2 Å³ per atom. The calculation puts the formation energy at -9.24 kJ per mole of atoms. As for the total moment: 0.00 μB per cell.

---

No. 3
A relaxed structure of GaIrPb. Source: the Alexandria database, functional GGA-PBE.

abc: 6.4685 3.0261 7.5369
angles: 90.00 115.71 90.00
Last column: nearest neighbours and their distance in Å.
Fractional positions:
Ga  0.1565  0.5000  0.1290  4 Ir 2.51-2.54
Ga  0.6615  0.5000  0.1377  4 Ir 2.52-2.54
Pb  0.4350  0.5000  0.6316  4 Ir 3.02, 2 Pb 3.03
Ir  0.4986  0.0000  0.3124  4 Ga 2.52-2.54
Pb  0.9480  0.0000  0.6350  2 Ir 2.87, 2 Pb 3.03
Ir  0.8178  0.0000  0.9537  4 Ga 2.51-2.54

Computed properties:
As for the volume: 22.2 Å³ per atom. The calculation puts the formation energy at -8.34 kJ per mole of atoms. As for the total moment: 0.00 μB per cell.

---

No. 4
A relaxed structure of GaIrPb. Source: the Alexandria database, functional GGA-PBE.

abc: 3.0773 13.5144 5.8020
angles: 90.00 90.00 90.00
Last column: nearest neighbours and their distance in Å.
Fractional positions:
Pb  0.5000  0.7044  0.7500  4 Ir 3.01-3.20, 2 Pb 3.08
Ir  0.0000  0.8961  0.7500  4 Ga 2.54
Pb  0.0000  0.2044  0.7500  4 Ir 3.01-3.20, 2 Pb 3.08
Ir  0.5000  0.3961  0.7500  4 Ga 2.54
Ga  0.0000  0.5000  0.5000  4 Ir 2.54
Ir  0.5000  0.6039  0.2500  4 Ga 2.54
Ga  0.5000  0.0000  0.0000  4 Ir 2.54
Pb  0.5000  0.2956  0.2500  4 Ir 3.01-3.20, 2 Pb 3.08
Ir  0.0000  0.1039  0.2500  4 Ga 2.54
Pb  0.0000  0.7956  0.2500  4 Ir 3.01-3.20, 2 Pb 3.08
Ga  0.0000  0.5000  0.0000  4 Ir 2.54
Ga  0.5000  0.0000  0.5000  4 Ir 2.54

Computed properties:
As for the volume: 20.1 Å³ per atom. The calculation puts the formation energy at -8.08 kJ per mole of atoms. As for the total moment: 0.00 μB per cell.

---

No. 5
A relaxed structure of GaIrPb. Source: the Alexandria database, functional GGA-PBE.

abc: 4.1569 4.1569 13.3319
angles: 90.00 90.00 120.00
Last column: nearest neighbours and their distance in Å.
Fractional positions:
Ga  0.3333  0.6667  0.8678  3 Ir 2.48
Ga  0.6667  0.3333  0.5344  3 Ir 2.48
Ir  0.6667  0.3333  0.8213  3 Ga 2.48
Pb  0.3333  0.6667  0.3660  4 Ir 2.82-2.90
Ga  0.0000  0.0000  0.2011  3 Ir 2.48
Ir  0.3333  0.6667  0.1546  3 Ga 2.48
Pb  0.6667  0.3333  0.0327  4 Ir 2.82-2.90
Pb  0.0000  0.0000  0.6994  4 Ir 2.82-2.90
Ir  0.0000  0.0000  0.4879  3 Ga 2.48

Computed properties:
As for the volume: 22.2 Å³ per atom. The calculation puts the formation energy at -3.54 kJ per mole of atoms. As for the total moment: 0.00 μB per cell.

---

No. 6
A relaxed structure of Ga2IrPb2. Source: the Alexandria database, functional GGA-PBE.

abc: 3.5607 3.5607 9.5656
angles: 79.27 79.27 90.00
Last column: nearest neighbours and their distance in Å.
Fractional positions:
Ga  0.2500  0.7500  0.5000  4 Ga 2.52
Ga  0.7500  0.2500  0.5000  4 Ga 2.52
Ir  0.0000  0.0000  0.0000  8 Pb 3.00
Pb  0.4120  0.4120  0.1759  4 Ir 3.00, 1 Pb 3.25
Pb  0.5880  0.5880  0.8241  4 Ir 3.00, 1 Pb 3.25

Computed properties:
As for the volume: 23.4 Å³ per atom. The calculation puts the formation energy at 28.01 kJ per mole of atoms. As for the total moment: 0.00 μB per cell.

---

no.,DFT total energy (eV/atom)
1,-5.249
2,-5.295
3,-5.285
4,-5.283
5,-5.235
6,-4.176